Material: BaSmGe2Au2
Method: DFT, PBE
State: relaxed

Cell: 4.583 4.583 8.378 Å, 90.00 90.00 120.00°
Atoms (fractional coordinates):
Au 0.333 0.667 0.293
Au 0.667 0.333 0.707
Sm 0.000 0.000 0.500
Ge 0.333 0.667 0.708
Ge 0.667 0.333 0.292
Ba 0.000 0.000 0.000

Output
The total magnetic moment is 0.0 μB per formula unit. The formation energy is -0.74 eV/atom.

Material: Y2BSbRh6
Method: DFT, PBE
State: relaxed

Cell: 6.354 6.359 6.357 Å, 59.98 60.01 90.00°
Atoms (fractional coordinates):
Y 0.750 0.250 0.500
Y 0.250 0.750 0.500
Rh 0.273 0.273 0.454
Rh 0.727 0.727 0.000
Rh 0.273 0.273 0.000
Rh 0.727 0.273 0.000
Rh 0.727 0.727 0.546
Rh 0.273 0.727 0.000
B 0.500 0.500 0.000
Sb 0.000 0.000 0.000

Output
The total magnetic moment is 0.0 μB per formula unit. As for the energy: -7.26 eV per atom.